## CsPmCdTe3 (PBE)

Data for a geometry-optimized CsPmCdTe3 structure.

a b c (Å): 10.2548 4.6255 11.2301
angles (deg): 90.00 110.41 90.00
Space group P2_1/m (No. 11)
Unique sites:
Cs 0.2194 0.2500 0.2471
Pm 0.3269 0.7500 0.8657
Cd 0.0838 0.2500 0.6120
Te 0.1125 0.2500 0.8706
Te 0.2167 0.7500 0.5468
Te 0.4735 0.7500 0.1589

Properties
For the final energy, the calculation gives -3.75 eV/atom. For the energy relative to the elements, uncorrected, the calculation gives -1094.8 meV per atom.